Density functional theory data (GGA+U) for an optimized crystal structure of Nb3P6WO24.

Computed properties:
Calculated density ... 3.4 g cm⁻³
Electronic total energy ... -0.2898 Ha/atom
Total magnetic moment ... 3.000 μB per formula unit

Unit cell a=8.8311 b=8.8311 c=22.6460 alpha=90.00 beta=90.00 gamma=120.00
Closest atoms and distances in Å follow each position.
Space group R3 (No. 146, hexagonal axes)
Unique sites:
Nb 0.0000 0.0000 0.0000  6 O 1.98
Nb 0.0000 0.0000 0.2158  6 O 1.99-2.02
Nb 0.0000 0.0000 0.7164  6 O 1.97-2.03
P 0.0006 0.2836 0.6074  4 O 1.50-1.56
P 0.0547 0.6719 0.7748  4 O 1.50-1.56
W 0.0000 0.0000 0.5003  6 O 2.13
O 0.0013 0.8204 0.0524  1 P 1.55
O 0.0300 0.8339 0.7662  1 P 1.56
O 0.0432 0.2051 0.2643  1 P 1.56
O 0.0516 0.2199 0.5536  1 P 1.50
O 0.1468 0.4751 0.6199  1 P 1.56
O 0.1615 0.7113 0.1130  1 P 1.50
O 0.1627 0.4698 0.3298  1 P 1.55
O 0.1756 0.7106 0.8294  1 P 1.56